Here is NbNi3F after structural relaxation from Alexandria. Energies are from PBE+U.

V: 70.0 Å³ per cell
ρ: 6.83 Mg/m³
symmetry: Pm-3m, No. 221
raw total energy: -3.328 eV/atom
N(E_F): 1.25 states/eV per atom
total magnetic moment: 5.357 μB/f.u.
energy relative to the lowest polymorph listed for this composition: 0 meV per atom

a = 4.121 Å, b = 4.121 Å, c = 4.121 Å
α = 90.00°, β = 90.00°, γ = 90.00°
Fractional positions:
F: 0.000 0.000 0.000
Ni: 0.000 0.500 0.000
Ni: 0.500 0.000 0.000
Ni: 0.000 0.000 0.500
Nb: 0.500 0.500 0.500